Here is an optimized crystal structure of CePm2Au4 from Alexandria. Energies are from PBE.

Unit cell a=5.3570 b=5.3570 c=8.4745 alpha=108.43 beta=108.43 gamma=90.00
With the nearest neighbours (Å) after each atom.
Atoms (fractional coordinates):
Ce1 0.0000 0.0000 0.0000  6 Au 2.68-2.86
Pm1 0.6201 0.6201 0.2402  5 Au 2.90-3.24
Pm2 0.3799 0.3799 0.7598  5 Au 2.90-3.24
Au1 0.8113 0.8113 0.6226  1 Ce 2.86, 1 Pm 2.90
Au2 0.1887 0.1887 0.3774  1 Ce 2.86, 1 Pm 2.90
Au3 0.0000 0.5000 0.0000  2 Ce 2.68
Au4 0.5000 0.0000 0.0000  2 Ce 2.68

Calculated values
Polymorph energy (0 for the lowest one): 31.68 kJ/mol of atoms
Calculated formation energy: -0.235 eV per atom
Symmetry: No. 139
E_tot: -4.313 eV/atom
Density of states at the Fermi level: 6.94 states/eV/cell